## GaRuW (GGA-PBE)

Data for a geometry-optimized GaRuW structure.

Properties
As for the total DFT energy (no corrections): -8.319 eV per atom.

a b c (Å): 5.4542 3.0258 5.9737
angles (deg): 90.00 104.26 90.00
Space group P2_1/m (No. 11)
Asymmetric unit:
Ga 0.0575 0.2500 0.3036 (multiplicity 2)
Ru 0.3725 0.7500 0.6054 (multiplicity 2)
W 0.3398 0.7500 0.0748 (multiplicity 2)


## Ga3RuW (GGA-PBE)

Data for a geometry-optimized Ga3RuW structure.

Properties
As for the total DFT energy (no corrections): -5.253 eV per atom.

a b c (Å): 4.7873 4.7873 4.7873
angles (deg): 90.00 90.00 90.00
Space group Pm-3m (No. 221)
Asymmetric unit:
Ga 0.0000 0.0000 0.5000 (multiplicity 3)
Ru 0.0000 0.0000 0.0000 (multiplicity 1)
W 0.5000 0.5000 0.5000 (multiplicity 1)


## Y2Ga2Ru (GGA-PBE)

Data for a geometry-optimized Y2Ga2Ru structure.

Properties
As for the total DFT energy (no corrections): -6.254 eV per atom.

a b c (Å): 10.9097 4.1911 10.5492
angles (deg): 90.00 117.30 90.00
Space group C2/m (No. 12)
Asymmetric unit:
Y 0.0073 0.0000 0.3293 (multiplicity 4)
Y 0.1916 0.0000 0.1182 (multiplicity 4)
Ga 0.0154 0.5000 0.8845 (multiplicity 4)
Ga 0.1453 0.5000 0.5604 (multiplicity 4)
Ru 0.2177 0.5000 0.3577 (multiplicity 4)


## Y7Ga2Ru2 (GGA-PBE)

Data for a geometry-optimized Y7Ga2Ru2 structure.

Properties
As for the total DFT energy (no corrections): -6.619 eV per atom.

a b c (Å): 7.6690 10.9096 7.0564
angles (deg): 90.00 90.00 90.00
Space group Cmmm (No. 65)
Asymmetric unit:
Y 0.0000 0.0000 0.0000 (multiplicity 2)
Y 0.0000 0.5000 0.2542 (multiplicity 4)
Y 0.2500 0.2500 0.2619 (multiplicity 8)
Ga 0.1679 0.0000 0.5000 (multiplicity 4)
Ru 0.0000 0.3005 0.0000 (multiplicity 4)


## YGa3Ru2 (GGA-PBE)

Data for a geometry-optimized YGa3Ru2 structure.

Properties
As for the total DFT energy (no corrections): -6.127 eV per atom.

a b c (Å): 5.4102 5.4102 4.1235
angles (deg): 90.00 90.00 120.00
Space group P6/mmm (No. 191)
Asymmetric unit:
Y 0.0000 0.0000 0.0000 (multiplicity 1)
Ga 0.0000 0.5000 0.5000 (multiplicity 3)
Ru 0.3333 0.6667 0.0000 (multiplicity 2)


## Y2Ga2Ru (GGA-PBE)

Data for a geometry-optimized Y2Ga2Ru structure.

Properties
As for the total DFT energy (no corrections): -6.127 eV per atom.

a b c (Å): 6.2424 12.4450 6.0430
angles (deg): 90.00 90.00 90.00
Space group Ibam (No. 72)
Asymmetric unit:
Y 0.2223 0.1483 0.0000 (multiplicity 8)
Ga 0.2388 0.3937 0.0000 (multiplicity 8)
Ru 0.0000 0.5000 0.2500 (multiplicity 4)


M_tot, respectively: 0.0 4.6 0.0 0.0 0.9 0.0 Bohr magnetons per cell.